This record from Alexandria describes crystalline Zr5AlTl4 at its relaxed geometry. The functional is PBE-GGA.

a = 3.168 Å, b = 3.168 Å, c = 22.124 Å
α = 90.00°, β = 90.00°, γ = 90.00°
Sites, in units of the cell vectors:
Zr1 0.000 0.000 0.000
Zr2 0.000 0.000 0.202
Zr3 0.000 0.000 0.412
Zr4 0.000 0.000 0.588
Zr5 0.000 0.000 0.798
Al1 0.500 0.500 0.500
Tl1 0.500 0.500 0.101
Tl2 0.500 0.500 0.306
Tl3 0.500 0.500 0.694
Tl4 0.500 0.500 0.899

Values from the calculation:
As for the symmetry: No. 123. For the total energy, the calculation gives -5.744 eV/atom. Its energy of formation from the pure elements is -1.487 eV per formula unit. For the density of states at the Fermi level, the calculation gives 6.654 states/eV/cell.


This record from Alexandria describes crystalline LiMnTe at its relaxed geometry. The functional is PBE-GGA.

a = 4.715 Å, b = 4.715 Å, c = 4.715 Å
α = 138.94°, β = 138.94°, γ = 59.47°
Sites, in units of the cell vectors:
Li1 0.000 0.000 0.000
Mn1 0.330 0.330 0.000
Te1 0.676 0.676 0.000

Values from the calculation:
As for the symmetry: No. 107. For the total energy, the calculation gives -4.652 eV/atom.


This record from Alexandria describes crystalline LaZr2Ni at its relaxed geometry. The functional is PBE-GGA.

a = 11.316 Å, b = 11.316 Å, c = 11.316 Å
α = 159.11°, β = 159.11°, γ = 29.71°
Sites, in units of the cell vectors:
La1 0.000 0.000 0.000
La2 0.750 0.250 0.500
Zr1 0.142 0.625 0.017
Zr2 0.375 0.392 0.517
Zr3 0.608 0.125 0.983
Zr4 0.875 0.858 0.483
Ni1 0.250 0.750 0.500
Ni2 0.500 0.500 0.000

Values from the calculation:
As for the symmetry: No. 122. For the total energy, the calculation gives -6.690 eV/atom. Its energy of formation from the pure elements is 1.046 eV per formula unit. For the density of states at the Fermi level, the calculation gives 6.860 states/eV/cell.


This record from Alexandria describes crystalline LuPa3 at its relaxed geometry. The functional is PBE-GGA.

a = 5.252 Å, b = 5.252 Å, c = 5.252 Å
α = 60.00°, β = 60.00°, γ = 60.00°
Sites, in units of the cell vectors:
Lu1 0.000 0.000 0.000
Pa1 0.250 0.250 0.250
Pa2 0.500 0.500 0.500
Pa3 0.750 0.750 0.750

Values from the calculation:
As for the symmetry: No. 225. For the total energy, the calculation gives -7.911 eV/atom. Its energy of formation from the pure elements is 1.366 eV per formula unit. For the density of states at the Fermi level, the calculation gives 10.453 states/eV/cell.